Entry 1:
Compound: MgZnHg2
Source: Alexandria
Functional: SCAN
Structure: single point on PBEsol structure

Cell lengths 4.629, 4.629, 3.662 Å; angles 90.00, 90.00, 96.91 degrees
Positions (direct):
Mg 0.000 0.000 0.000
Zn 0.500 0.500 0.000
Hg 0.000 0.500 0.500
Hg 0.500 0.000 0.500

Output
- Space group: Cmmm

Entry 2:
Compound: MgZnHg2
Source: Alexandria
Functional: SCAN
Structure: single point on PBEsol structure

Cell lengths 5.313, 5.313, 5.313 Å; angles 133.30, 133.30, 68.18 degrees
Positions (direct):
Mg 0.000 0.000 0.000
Zn 0.750 0.250 0.500
Hg 0.250 0.750 0.500
Hg 0.500 0.500 0.000

Output
- Space group: I-4m2

Entry 3:
Compound: MgZnHg2
Source: Alexandria
Functional: SCAN
Structure: single point on PBEsol structure

Cell lengths 4.958, 4.958, 4.958 Å; angles 125.79, 125.79, 80.23 degrees
Positions (direct):
Mg 0.000 0.000 0.000
Zn 0.500 0.500 0.000
Hg 0.250 0.750 0.500
Hg 0.750 0.250 0.500

Output
- Space group: I4/mmm

Number 1: Fermi-level density of states 1.1 states/eV/f.u., formation enthalpy at 0 K -0.09 eV per atom, raw total energy -155.188 eV/cell. Number 2: Fermi-level density of states 1.2 states/eV/f.u., formation enthalpy at 0 K -0.06 eV per atom, raw total energy -155.058 eV/cell. Number 3: Fermi-level density of states 0.9 states/eV/f.u., formation enthalpy at 0 K -0.10 eV per atom, raw total energy -155.217 eV/cell.